1.
Material: KSrLi
Method: DFT, GGA-PBE
State: optimized geometry

a = 6.0552 Å, b = 6.0651 Å, c = 15.8925 Å
α = 90.00°, β = 90.00°, γ = 90.00°
With the nearest neighbours (Å) after each atom.
Space group Fmm2 (No. 42)
Symmetry-distinct sites (fractional):
1 K 0.0000 0.0000 0.0000 (multiplicity 4)  4 Li 3.88-3.89, 4 K 4.29
2 Sr 0.0000 0.0000 0.2826 (multiplicity 4)  4 Li 3.66-3.67
3 Li 0.0000 0.0000 0.6529 (multiplicity 4)  4 Sr 3.66-3.67, 4 K 3.88-3.89

**Calculated total energy**: -1.447 eV/atom
**Density**: 1.52 g/cm3

***

2.
Material: Na8Ag2Ge
Method: DFT, GGA-PBE
State: optimized geometry

a = 5.2796 Å, b = 7.0664 Å, c = 9.2765 Å
α = 67.61°, β = 73.47°, γ = 89.99°
With the nearest neighbours (Å) after each atom.
Space group P1 (No. 1)
Symmetry-distinct sites (fractional):
1 Na 0.0000 0.0000 0.0000 (multiplicity 1)  1 Ge 3.04, 3 Ag 3.25-3.29
2 Na 0.0332 0.5410 0.9325 (multiplicity 1)  3 Ag 3.02-3.12, 3 Na 3.34
3 Na 0.2397 0.0641 0.5202 (multiplicity 1)  1 Ag 3.07, 4 Na 3.12-3.35, 2 Ge 3.18-3.19
4 Na 0.3392 0.7838 0.3229 (multiplicity 1)  2 Ag 3.06-3.07, 4 Na 3.12-3.38, 2 Ge 3.26
5 Na 0.4372 0.2610 0.1267 (multiplicity 1)  1 Ag 3.07, 4 Na 3.12-3.34, 2 Ge 3.18
6 Na 0.6417 0.1505 0.7149 (multiplicity 1)  3 Ag 3.02-3.13, 3 Na 3.34-3.35
7 Na 0.6767 0.6775 0.6463 (multiplicity 1)  1 Ge 3.04, 3 Ag 3.25-3.29
8 Na 0.8398 0.4862 0.3236 (multiplicity 1)  1 Ge 3.06, 4 Na 3.34-3.38
9 Ag 0.1733 0.4068 0.6498 (multiplicity 1)  8 Na 3.02-3.29
10 Ag 0.5016 0.7331 0.9964 (multiplicity 1)  8 Na 3.02-3.29
11 Ge 0.8390 0.0537 0.3228 (multiplicity 1)  9 Na 3.04-3.26

**Calculated total energy**: -1.905 eV/atom
**Density**: 2.58 g/cm3